# CuSe SCAN PBEsol geometry
data_CuSe
_symmetry_space_group_name_H-M 'P 1'
_symmetry_Int_Tables_number 1
_symmetry_space_group_name_Hall 'P 1'
_cell_length_a 5.848
_cell_length_b 5.848
_cell_length_c 6.492
_cell_angle_alpha 122.53
_cell_angle_beta 122.53
_cell_angle_gamma 37.10
loop_
_atom_site_label
_atom_site_fract_x
_atom_site_fract_y
_atom_site_fract_z
Cu1 0.000 0.000 0.000
Cu2 0.533 0.533 0.434
Cu3 0.683 0.683 0.254
Se1 0.220 0.220 0.533
Se2 0.506 0.506 0.789
Se3 0.879 0.879 0.203
# - M_tot: 0.0 μB/f.u.
# - Symmetry: No. 8
# - Crystal system: monoclinic
# - N(E_F): 0.9 states/eV/f.u.
# - Formation energy (no corrections): -0.077 eV/atom
# - Total energy: -17.7161 eV per atom